SCAN CaY2Os, PBEsol geometry; SG = Pmm2, No. 25; VASP energy = -34.16 eV/atom
1.0
3.6362 0.0000 0.0000
0.0000 3.7989 0.0000
0.0000 0.0000 7.8162
Ca Os Y
1 1 2
direct
0.0000 0.0000 0.5491
0.5000 0.5000 0.8152
0.0000 0.0000 0.9399
0.5000 0.5000 0.1958



SCAN CaZnOs2, PBEsol geometry; SG = Pmmm, No. 47; VASP energy = -41.23 eV/atom
1.0
-1.8692 0.9966 -1.9893
-3.4616 -2.1759 2.1625
-0.7564 3.8033 2.6160
Os Ca Zn
2 1 1
direct
0.0000 0.0000 0.0000
0.5000 0.0000 0.5000
0.0000 0.5000 0.5000
0.5000 0.5000 0.0000